In5Te12Pb3 after structural relaxation. Source: Alexandria, functional PBE.

POSCAR file:
```
In5Te12Pb3
1.0
-9.033 9.033 9.033
9.033 -9.033 9.033
9.033 9.033 -9.033
In Te Pb
20 48 12
Cartesian
0.000 0.000 0.000
4.517 4.517 -4.517
4.517 -4.517 4.517
9.033 0.000 0.000
13.550 2.258 0.000
9.033 -4.517 6.775
6.775 9.033 -4.517
6.775 0.000 4.517
4.517 6.775 0.000
9.033 4.517 2.258
-4.517 4.517 4.517
0.000 9.033 0.000
0.000 0.000 9.033
4.517 4.517 4.517
0.000 4.517 6.775
4.517 2.258 9.033
2.258 9.033 4.517
2.258 0.000 13.550
0.000 13.550 2.258
-4.517 6.775 9.033
2.716 -0.427 1.185
10.834 5.702 -4.944
8.606 -1.185 2.716
13.977 -1.801 3.331
11.749 0.427 1.185
10.834 -3.331 4.944
1.185 2.716 -0.427
12.364 4.089 -1.801
5.702 4.944 -1.801
7.848 2.716 0.427
-0.427 1.185 2.716
4.944 -1.801 5.702
8.606 7.848 -2.716
4.944 1.801 3.331
7.848 -2.716 8.606
5.702 -4.944 10.834
3.331 4.944 1.801
10.219 6.318 0.427
2.716 8.606 -1.185
10.834 3.331 4.089
4.944 10.834 -3.331
8.606 1.185 6.318
1.801 3.331 4.944
2.716 0.427 7.848
6.318 8.606 1.185
7.232 5.702 4.089
0.427 7.848 2.716
4.089 -1.801 12.364
-1.801 5.702 4.944
6.318 0.427 10.219
-1.185 2.716 8.606
5.702 4.089 7.232
3.331 13.977 -1.801
1.185 11.749 0.427
4.089 7.232 5.702
0.427 1.185 11.749
4.089 10.834 3.331
9.461 7.848 6.318
1.185 6.318 8.606
3.331 4.089 10.834
-3.331 4.944 10.834
7.848 6.318 9.461
-1.801 12.364 4.089
-2.716 8.606 7.848
-4.944 10.834 5.702
0.427 10.219 6.318
-1.801 3.331 13.977
6.318 9.461 7.848
4.517 2.258 0.000
9.033 4.517 -2.258
2.258 0.000 4.517
11.291 0.000 4.517
0.000 4.517 2.258
4.517 -2.258 9.033
4.517 11.291 0.000
9.033 4.517 6.775
-2.258 9.033 4.517
6.775 9.033 4.517
0.000 4.517 11.291
4.517 6.775 9.033
```

Summary:
- Uncorrected formation energy: -0.16 eV per atom
- E_tot: -3.290 eV per atom